First-principles (PBE) data for a relaxed OsS2NF crystal, as listed in Alexandria via LeMat-Bulk.

abc: 4.2366 4.2366 3.6509
angles: 90.00 90.00 90.00
With the nearest neighbours (Å) after each atom.
Element x y z (fractional)
1 S 0.5000 0.0000 0.0000  2 F 2.12
2 S 0.0000 0.5000 0.0000  2 F 2.12
3 N 0.0000 0.0000 0.5000  2 F 1.83
4 Os 0.5000 0.5000 0.5000  8 S 2.80, 4 N 3.00
5 F 0.0000 0.0000 0.0000  2 N 1.83

Calculated values
Energy above the lowest structure with this stoichiometry: 1547 meV/atom
Formation energy from raw total energies: 2.0466 eV per atom

First-principles (PBE) data for a relaxed OsS2NF crystal, as listed in Alexandria via LeMat-Bulk.

abc: 4.6715 4.6715 3.7046
angles: 90.00 90.00 90.00
With the nearest neighbours (Å) after each atom.
Element x y z (fractional)
1 F 0.5000 0.5000 0.5000  8 S 2.98, 4 N 3.30
2 S 0.0000 0.5000 0.0000  2 Os 2.34
3 S 0.5000 0.0000 0.0000  2 Os 2.34
4 Os 0.0000 0.0000 0.0000  2 N 1.85
5 N 0.0000 0.0000 0.5000  2 Os 1.85

Calculated values
Energy above the lowest structure with this stoichiometry: 0 meV/atom
Formation energy from raw total energies: 0.4995 eV per atom

First-principles (PBE) data for a relaxed SbOsNF2 crystal, as listed in Alexandria via LeMat-Bulk.

abc: 4.3264 4.3264 4.3563
angles: 90.00 90.00 90.00
With the nearest neighbours (Å) after each atom.
Element x y z (fractional)
1 F 0.0000 0.5000 0.0000  2 Sb 2.16
2 F 0.5000 0.0000 0.0000  2 Sb 2.16
3 Sb 0.0000 0.0000 0.0000  4 F 2.16, 2 N 2.18
4 N 0.0000 0.0000 0.5000  2 Sb 2.18
5 Os 0.5000 0.5000 0.5000  4 N 3.06, 8 F 3.07

Calculated values
Energy above the lowest structure with this stoichiometry: 804 meV/atom
Formation energy from raw total energies: 0.7379 eV per atom

First-principles (PBE) data for a relaxed SbOsNF2 crystal, as listed in Alexandria via LeMat-Bulk.

abc: 4.4336 4.4336 3.7551
angles: 90.00 90.00 90.00
With the nearest neighbours (Å) after each atom.
Element x y z (fractional)
1 Sb 0.5000 0.5000 0.5000  8 F 2.91, 4 N 3.13
2 F 0.5000 0.0000 0.0000  2 Os 2.22
3 F 0.0000 0.5000 0.0000  2 Os 2.22
4 N 0.0000 0.0000 0.5000  2 Os 1.88
5 Os 0.0000 0.0000 0.0000  2 N 1.88

Calculated values
Energy above the lowest structure with this stoichiometry: 0 meV/atom
Formation energy from raw total energies: -0.0665 eV per atom

First-principles (PBE) data for a relaxed ScOsNF2 crystal, as listed in Alexandria via LeMat-Bulk.

abc: 3.8749 3.8749 4.6641
angles: 90.00 90.00 90.00
With the nearest neighbours (Å) after each atom.
Element x y z (fractional)
1 Sc 0.0000 0.0000 0.0000  4 F 1.94
2 N 0.0000 0.0000 0.5000  2 Sc 2.33
3 F 0.5000 0.0000 0.0000  2 Sc 1.94
4 F 0.0000 0.5000 0.0000  2 Sc 1.94
5 Os 0.5000 0.5000 0.5000  4 N 2.74, 8 F 3.03

Calculated values
Energy above the lowest structure with this stoichiometry: 0 meV/atom
Formation energy from raw total energies: -0.6172 eV per atom

First-principles (PBE) data for a relaxed ScOsNF2 crystal, as listed in Alexandria via LeMat-Bulk.

abc: 3.7620 3.7620 5.7179
angles: 90.00 90.00 90.00
With the nearest neighbours (Å) after each atom.
Element x y z (fractional)
1 N 0.5000 0.5000 0.5000  4 Sc 2.66
2 F 0.5000 0.0000 0.0000  2 Os 1.88
3 F 0.0000 0.5000 0.0000  2 Os 1.88
4 Sc 0.0000 0.0000 0.5000  4 N 2.66, 2 Os 2.86
5 Os 0.0000 0.0000 0.0000  4 F 1.88

Calculated values
Energy above the lowest structure with this stoichiometry: 539 meV/atom
Formation energy from raw total energies: -0.0778 eV per atom

Number 1: E -0.286 Ry per atom. Number 2: E -0.400 Ry per atom. Number 3: E -0.349 Ry per atom. Number 4: E -0.408 Ry per atom. Number 5: E -0.481 Ry per atom. Number 6: E -0.441 Ry per atom.